A plane-wave DFT calculation with meta-GGA SCAN was carried out for LuGaPt at its PBEsol-relaxed geometry.

```
LuGaPt
1.0
-2.170 1.073 3.602
-4.694 -4.430 -1.509
3.762 -5.295 3.843
Lu Ga Pt
4 4 4
direct
0.750 0.014 0.301 Lu
0.750 0.514 0.199 Lu
0.250 0.986 0.699 Lu
0.250 0.486 0.801 Lu
0.750 0.674 0.575 Ga
0.750 0.174 0.925 Ga
0.250 0.326 0.425 Ga
0.250 0.826 0.075 Ga
0.750 0.771 0.901 Pt
0.750 0.271 0.599 Pt
0.250 0.229 0.099 Pt
0.250 0.729 0.401 Pt
```

Summary:
**N(E_F)**: 5.05 states/eV per cell
**Space-group type**: No. 62
**Energy relative to the elements**: -1346 meV/atom
**Crystal system**: orthorhombic

A plane-wave DFT calculation with meta-GGA SCAN was carried out for BaTl2Sb at its PBEsol-relaxed geometry.

```
BaTl2Sb
1.0
-2.060 0.786 -4.156
-4.218 -0.726 1.953
-0.402 5.846 1.305
Sb Tl Ba
1 2 1
direct
0.500 0.500 0.737 Sb
0.000 0.500 0.097 Tl
0.500 0.000 0.097 Tl
0.000 0.000 0.562 Ba
```

Summary:
**Uncorrected formation energy**: -0.5852 eV/atom
**N(E_F)**: 1.09 states/eV per cell
**Space-group type**: No. 99
**ΔE to the lowest computed polymorph**: 0 meV per atom
**Crystal system**: tetragonal

A plane-wave DFT calculation with meta-GGA SCAN was carried out for Zr2MoRh at its PBEsol-relaxed geometry.

```
Zr2MoRh
1.0
-0.907 0.628 -2.722
4.092 -1.461 -1.700
-1.543 -4.952 0.540
Mo Rh Zr
1 1 2
direct
0.492 0.000 0.486 Mo
0.270 0.500 0.760 Rh
0.007 0.000 0.984 Zr
0.731 0.500 0.270 Zr
```

Summary:
**N(E_F)**: 2.88 states/eV per cell
**Space-group type**: No. 6
**Energy relative to the elements**: -218 meV/atom
**Crystal system**: monoclinic

Among the records above, which one has the lowest N(E_F)?
BaTl2Sb